No. 1
The following is a GGA-PBE calculation of a geometry-optimized Y3Mg2TiS8 structure, from the Alexandria database.

Electronic total energy = -6.258 eV/atom
Density of states at the Fermi level = 0.257 states/eV/atom
E_form (uncorrected) = -1.72 eV/atom
SG = R-3m (166)

a = 7.8221 Å, b = 7.7138 Å, c = 7.8227 Å
α = 59.53°, β = 59.99°, γ = 59.54°
Each line ends with the local moment (μB).
Positions (direct):
S (0.7456, 0.2633, 0.7456)  0.00
S (0.2670, 0.2344, 0.2670)  -0.01
S (0.7330, 0.7656, 0.7330)  -0.01
S (0.2544, 0.7367, 0.2544)  0.00
S (0.7330, 0.7656, 0.2684)  -0.01
S (0.2670, 0.2344, 0.7316)  -0.01
S (0.2684, 0.7656, 0.7330)  -0.01
S (0.7316, 0.2344, 0.2670)  -0.01
Y (0.5000, 0.5000, 0.5000)  0.01
Y (0.0000, 0.5000, 0.5000)  0.01
Y (0.5000, 0.5000, 0.0000)  0.01
Ti (0.5000, 0.0000, 0.5000)  0.80
Mg (0.1247, 0.1260, 0.1247)  0.01
Mg (0.8753, 0.8740, 0.8753)  0.01


No. 2
The following is a GGA-PBE calculation of a geometry-optimized MgTl2S8 structure, from the Alexandria database.

Electronic total energy = -3.737 eV/atom
Density of states at the Fermi level = 0.263 states/eV/atom
E_form (uncorrected) = -0.16 eV/atom
SG = P-1 (2)

a = 5.0393 Å, b = 10.6885 Å, c = 12.9259 Å
α = 153.79°, β = 94.25°, γ = 85.84°
Positions (direct):
S (0.0297, 0.9371, 0.3838)
S (0.9703, 0.0629, 0.6162)
S (0.5206, 0.9289, 0.0255)
S (0.0012, 0.5086, 0.4270)
S (0.9988, 0.4914, 0.5730)
S (0.4794, 0.0711, 0.9745)
S (0.3582, 0.4581, 0.0129)
S (0.6418, 0.5419, 0.9871)
Tl (0.5173, 0.2753, 0.5062)
Tl (0.4827, 0.7247, 0.4938)
Mg (0.0000, 0.0000, 0.0000)


no.,mass density (g/cm³)
1,3.11
2,3.74